Computed, not measured: crystalline Ho2ZrCo at its relaxed geometry at the PBE level of DFT.

abc: 6.616 9.218 6.128
angles: 90.00 90.00 90.00
Space group Pnma (No. 62)
Inequivalent atoms, fractional coordinates:
Ho (0.181, 0.065, 0.178) x8
Zr (0.044, 0.250, 0.646) x4
Co (0.116, 0.750, 0.975) x4

Values from the calculation:
E_form: -142 meV/atom
uncorrected energy: -25.378 eV/f.u.
energy relative to the lowest polymorph listed for this composition: 0.000 eV/atom